Below is Ac2HoSn after structural relaxation, with properties calculated at the PBE-GGA level.

Values from the calculation:
* electronic total energy: -4.366 eV/atom
* symmetry: Fm-3m, No. 225
* formation enthalpy at 0 K: -0.166 eV per atom

Cell: 5.851 5.851 5.851 Å, 60.00 60.00 60.00°
Fractional positions:
Ac  0.250  0.250  0.250
Ac  0.750  0.750  0.750
Sn  0.500  0.500  0.500
Ho  0.000  0.000  0.000



Below is Ac2HoSn2 after structural relaxation, with properties calculated at the PBE-GGA level.

Values from the calculation:
* electronic total energy: -4.803 eV/atom
* symmetry: Immm, No. 71
* formation enthalpy at 0 K: -0.643 eV per atom

Cell: 4.829 6.669 6.669 Å, 63.21 68.78 68.78°
Fractional positions:
Sn  0.500  0.720  0.280
Sn  0.500  0.280  0.720
Ho  0.000  0.000  0.000
Ac  0.797  0.703  0.703
Ac  0.203  0.297  0.297



Below is AcHoSn after structural relaxation, with properties calculated at the PBE-GGA level.

Values from the calculation:
* electronic total energy: -4.797 eV/atom
* symmetry: P4/nmm, No. 129
* formation enthalpy at 0 K: -0.567 eV per atom

Cell: 4.814 4.814 8.824 Å, 90.01 90.01 90.00°
Fractional positions:
Sn  0.814  0.867  0.164
Sn  0.313  0.366  0.675
Ac  0.314  0.367  0.272
Ac  0.813  0.866  0.567
Ho  0.814  0.366  0.920
Ho  0.314  0.866  0.920



Below is Ac2HoSn3 after structural relaxation, with properties calculated at the PBE-GGA level.

Values from the calculation:
* electronic total energy: -4.628 eV/atom
* symmetry: C2/c, No. 15
* formation enthalpy at 0 K: -0.494 eV per atom

Cell: 6.665 7.714 9.019 Å, 102.34 111.69 90.00°
Fractional positions:
Sn  0.157  0.078  0.311
Sn  0.846  0.422  0.689
Sn  0.496  0.750  0.000
Sn  0.843  0.922  0.689
Sn  0.504  0.250  0.000
Sn  0.154  0.578  0.311
Ac  0.671  0.084  0.338
Ac  0.329  0.916  0.662
Ac  0.668  0.584  0.338
Ac  0.332  0.416  0.662
Ho  0.997  0.750  0.000
Ho  0.003  0.250  0.000